# PBE-GGA Tb4NdSm7, optimized geometry
data_Tb4NdSm7
_cell_length_a 12.1190
_cell_length_b 6.0087
_cell_length_c 12.7700
_cell_angle_alpha 90.00
_cell_angle_beta 118.02
_cell_angle_gamma 90.00
_symmetry_space_group_name_H-M 'C 1 2/m 1'
_symmetry_Int_Tables_number 12
loop_
_symmetry_equiv_pos_as_xyz
'x,y,z'
'-x,-y,-z'
'-x,y,-z'
'x,-y,z'
'x+1/2,y+1/2,z'
'-x+1/2,-y+1/2,-z'
'-x+1/2,y+1/2,-z'
'x+1/2,-y+1/2,z'
loop_
_atom_site_label
_atom_site_type_symbol
_atom_site_fract_x
_atom_site_fract_y
_atom_site_fract_z
Tb1 Tb 0.1363 0.0000 0.2758
Tb2 Tb 0.2476 0.5000 0.1814
Nd1 Nd 0.0000 0.5000 0.5000
Sm1 Sm 0.0000 0.0000 0.5000
Sm2 Sm 0.0604 0.5000 0.8275
Sm3 Sm 0.1306 0.0000 0.0020
Sm4 Sm 0.2101 0.5000 0.4206
# * total magnetic moment: 0.000 Bohr magnetons per cell
# * ΔH_f (0 K): 0.2487 eV/atom
# * calculated total energy: -106.677 eV for the cell shown
# * offset from the most stable computed form: 283 kJ/mol of formula units
# * calculated volume: 34.20 A^3/atom